DFT (PBE) results for a relaxed RbSr3Mn crystal.

The space group is Pm-3m (No. 221) and the conventional cell measures 6.113, 6.113 and 6.113 Å, with angles of 90.00, 90.00 and 90.00 degrees. Symmetry generates all atoms from Rb at (0.000, 0.000, 0.000), Sr at (0.000, 0.500, 0.500) and Mn at (0.500, 0.500, 0.500).

The calculated volume is 228.4 Å³ per cell. Its crystal system is cubic. The spin magnetization comes out at 0.000 μB per formula unit. Its total energy is -2.364 eV/atom.

***

DFT (PBE) results for a relaxed LiCo2Re crystal.

The space group is Pmmm (No. 47) and the conventional cell measures 2.617, 3.451 and 5.257 Å, with angles of 90.00, 90.00 and 90.00 degrees. Symmetry generates all atoms from Li at (0.000, 0.000, 0.000), Co at (0.500, 0.500, 0.250) and Re at (0.000, 0.000, 0.500).

The calculated volume is 47.5 Å³ per cell. Its crystal system is orthorhombic. The spin magnetization comes out at 0.000 μB per formula unit. Its total energy is -6.952 eV/atom.

***

DFT (PBE) results for a relaxed CsBeHg crystal.

The space group is Cm (No. 8) and the conventional cell measures 14.153, 4.145 and 7.881 Å, with angles of 90.00, 105.36 and 90.00 degrees. Symmetry generates all atoms from Cs at (0.000, 0.000, 0.000), Cs at (0.178, 0.500, 0.600), Be at (0.318, 0.000, 0.255), Be at (0.372, 0.500, 0.385), Hg at (0.246, 0.500, 0.104) and Hg at (0.415, 0.000, 0.559).

The calculated volume is 445.9 Å³ per cell. Its crystal system is monoclinic. The spin magnetization comes out at 0.000 μB per formula unit. Its total energy is -1.367 eV/atom.

***

Please write out number 3 again, unchanged.
DFT (PBE) results for a relaxed CsBeHg crystal.

The space group is Cm (No. 8) and the conventional cell measures 14.153, 4.145 and 7.881 Å, with angles of 90.00, 105.36 and 90.00 degrees. Symmetry generates all atoms from Cs at (0.000, 0.000, 0.000), Cs at (0.178, 0.500, 0.600), Be at (0.318, 0.000, 0.255), Be at (0.372, 0.500, 0.385), Hg at (0.246, 0.500, 0.104) and Hg at (0.415, 0.000, 0.559).

The calculated volume is 445.9 Å³ per cell. Its crystal system is monoclinic. The spin magnetization comes out at 0.000 μB per formula unit. Its total energy is -1.367 eV/atom.

***

Question: Which of these has the lowest calculated volume?
Answer: LiCo2Re

***

Question: Look up the calculated volume of the third one.
Answer: 445.9 Å³ per cell